Version 1
Crystalline La2ReCl at its relaxed geometry, computed with PBE.

Lattice parameters (Å, degrees): 3.562 3.835 16.021 90.00 90.00 90.00
Space group Imm2 (No. 44)
One atom of each set of equivalent atoms:
La1 0.000 0.000 0.000 [2 per cell]
La2 0.000 0.500 0.284 [2 per cell]
Re1 0.000 0.500 0.879 [2 per cell]
Cl1 0.000 0.000 0.619 [2 per cell]

The value obtained for the total magnetization is 0.01 μB per formula unit.

---

Version 2
Crystalline La2ReCl at its relaxed geometry, computed with PBE.

Lattice parameters (Å, degrees): 3.811 4.688 5.855 90.00 90.00 90.00
Space group Pmm2 (No. 25)
One atom of each set of equivalent atoms:
La1 0.000 0.000 0.000 [1 per cell]
La2 0.500 0.500 0.465 [1 per cell]
Re1 0.000 0.000 0.432 [1 per cell]
Cl1 0.500 0.500 0.963 [1 per cell]

The value obtained for the total magnetization is 0.00 μB per formula unit.

---

Version 3
Crystalline La2ReCl at its relaxed geometry, computed with PBE.

Lattice parameters (Å, degrees): 7.213 7.213 7.213 90.00 90.00 90.00
Space group F-43m (No. 216)
One atom of each set of equivalent atoms:
La1 0.000 0.000 0.000 [4 per cell]
La2 0.250 0.250 0.250 [4 per cell]
Re1 0.000 0.000 0.500 [4 per cell]
Cl1 0.250 0.250 0.750 [4 per cell]

The value obtained for the total magnetization is 0.00 μB per formula unit.

---

Version 4
Crystalline La2ReCl at its relaxed geometry, computed with PBE.

Lattice parameters (Å, degrees): 6.523 6.523 13.130 90.00 90.00 90.00
Space group I-42d (No. 122)
One atom of each set of equivalent atoms:
La1 0.195 0.250 0.125 [8 per cell]
Re1 0.000 0.000 0.000 [4 per cell]
Cl1 0.000 0.000 0.500 [4 per cell]

The value obtained for the total magnetization is 0.00 μB per formula unit.

---

Stability, highest: version 2